Entry 1:
VASP calculation (PBE-GGA) on crystalline Sb4Pd3 at its relaxed geometry.

abc: 7.6033 7.6033 20.9540
angles: 90.00 90.00 120.00
Last column: nearest neighbours and their distance in Å.
Space group R-3m (No. 166, hexagonal axes)
Unique sites:
Sb: 0.0000 0.0000 0.2423 [6 per cell]  4 Pd 2.64-2.71
Sb: 0.0286 0.5143 0.7517 [18 per cell]  4 Pd 2.60-2.71
Pd: 0.0000 0.0000 0.0000 [3 per cell]  6 Sb 2.68
Pd: 0.0000 0.0000 0.3682 [6 per cell]  4 Sb 2.60-2.64
Pd: 0.0000 0.5000 0.5000 [9 per cell]  6 Sb 2.71

The calculation puts the uncorrected formation energy at -171 kJ/mol of formula units. The mass density comes out at 7.66 g cm⁻³. The magnetization comes out at 0.00 μB/f.u. Its density of states at the Fermi level is 20.22 states/eV/cell.

Entry 2:
VASP calculation (PBE-GGA) on crystalline CdGa2BiPt at its relaxed geometry.

abc: 5.3494 5.3494 5.6054
angles: 90.00 90.00 90.00
Last column: nearest neighbours and their distance in Å.
Space group P4/mmm (No. 123)
Unique sites:
Cd: 0.0000 0.0000 0.0000 [1 per cell]  2 Bi 2.80
Ga: 0.0000 0.5000 0.5000 [2 per cell]  2 Bi 2.67
Bi: 0.0000 0.0000 0.5000 [1 per cell]  4 Ga 2.67, 2 Cd 2.80
Pt: 0.5000 0.5000 0.0000 [1 per cell]  4 Cd 3.78, 8 Ga 3.87

The mass density comes out at 6.79 g cm⁻³. The magnetization comes out at 0.00 μB/f.u. Its density of states at the Fermi level is 2.76 states/eV/cell. Its formation energy from the elements is 1.02 eV per atom.

Entry 3:
VASP calculation (PBE-GGA) on crystalline Tl4CdCl6 at its relaxed geometry.

abc: 8.6084 8.6084 9.1871
angles: 90.00 90.00 90.00
Last column: nearest neighbours and their distance in Å.
Space group P4/mnc (No. 128)
Unique sites:
Tl: 0.1589 0.3411 0.2500 [8 per cell]  6 Cl 3.16-3.39
Cd: 0.0000 0.0000 0.0000 [2 per cell]  6 Cl 2.59-2.74
Cl: 0.0000 0.0000 0.2817 [4 per cell]  1 Cd 2.59
Cl: 0.1265 0.7085 0.0000 [8 per cell]  1 Cd 2.74

The calculation puts the uncorrected formation energy at -1099 kJ/mol of formula units. The mass density comes out at 5.57 g cm⁻³. The magnetization comes out at 0.00 μB/f.u. Its density of states at the Fermi level is 0.00 states/eV/cell.

Entry 4:
VASP calculation (PBE-GGA) on crystalline Sr5Tl at its relaxed geometry.

abc: 14.4215 4.2517 10.0728
angles: 90.00 112.02 90.00
Last column: nearest neighbours and their distance in Å.
Space group C2/m (No. 12)
Unique sites:
Sr: 0.0000 0.0000 0.0000 [2 per cell]  12 Sr 4.07-4.45
Sr: 0.1332 0.5000 0.3675 [4 per cell]  2 Tl 3.45
Sr: 0.1683 0.5000 0.7879 [4 per cell]  2 Tl 3.68, 2 Sr 4.03-4.07
Tl: 0.0000 0.0000 0.5000 [2 per cell]  8 Sr 3.45-3.68

The mass density comes out at 3.73 g cm⁻³. The magnetization comes out at 0.00 μB/f.u. Its density of states at the Fermi level is 13.24 states/eV/cell. Its formation energy from the elements is -0.13 eV per atom.

Entry 5:
VASP calculation (PBE-GGA) on crystalline Be5AlAu6 at its relaxed geometry.

abc: 4.2493 6.0253 6.7381
angles: 90.00 107.95 90.00
Last column: nearest neighbours and their distance in Å.
Space group P2/m (No. 10)
Unique sites:
Be: 0.0000 0.0000 0.0000 [1 per cell]  8 Au 2.57-2.65
Be: 0.3303 0.5000 0.6634 [2 per cell]  8 Au 2.57-2.67
Be: 0.3354 0.0000 0.6719 [2 per cell]  8 Au 2.55-2.59
Al: 0.0000 0.5000 0.0000 [1 per cell]  8 Au 2.64-2.68
Au: 0.1719 0.2451 0.3429 [4 per cell]  7 Be 2.57-2.65, 1 Al 2.68
Au: 0.5000 0.2391 0.0000 [2 per cell]  6 Be 2.55-2.67, 2 Al 2.64

The mass density comes out at 12.69 g cm⁻³. The magnetization comes out at 0.00 μB/f.u. Its density of states at the Fermi level is 2.82 states/eV/cell. Its formation energy from the elements is -0.14 eV per atom.

Entry 6:
VASP calculation (PBE-GGA) on crystalline Pr5Er3H12 at its relaxed geometry.

abc: 13.4428 13.4428 13.4428
angles: 90.00 90.00 90.00
Last column: nearest neighbours and their distance in Å.
Space group Ia-3d (No. 230)
Unique sites:
Pr: 0.0000 0.0000 0.0000 [16 per cell]  6 H 2.34
Pr: 0.0000 0.2500 0.3750 [24 per cell]  4 H 2.32
Er: 0.0000 0.2500 0.1250 [24 per cell]  8 H 2.25-2.45
H: 0.0035 0.0711 0.1592 [96 per cell]  1 H 2.20, 2 Er 2.25-2.45, 2 Pr 2.32-2.34

The mass density comes out at 6.66 g cm⁻³. The magnetization comes out at 0.01 μB/f.u. As for the uncorrected energy: -4.30 eV/atom. Its density of states at the Fermi level is 94.25 states/eV/cell.

Entry 7:
VASP calculation (PBE-GGA) on crystalline DyCo3P2 at its relaxed geometry.

abc: 3.6927 10.5184 12.1690
angles: 90.00 90.00 90.00
Last column: nearest neighbours and their distance in Å.
Space group Pmmn (No. 59, origin choice 2)
Unique sites:
Dy: 0.2500 0.0674 0.2059 [4 per cell]  6 P 2.81-2.87, 9 Co 2.88-3.07
Dy: 0.2500 0.2500 0.4780 [2 per cell]  6 P 2.85-2.95, 10 Co 2.88-3.18
Co: 0.2500 0.1293 0.7098 [4 per cell]  4 P 2.26-2.33
Co: 0.2500 0.2500 0.0137 [2 per cell]  4 P 2.17-2.23
Co: 0.2500 0.5471 0.4306 [4 per cell]  4 P 2.24-2.38
Co: 0.2500 0.5833 0.9949 [4 per cell]  4 P 2.22-2.30
Co: 0.2500 0.7500 0.1587 [2 per cell]  1 P 2.25
Co: 0.2500 0.7500 0.7033 [2 per cell]  3 P 2.19-2.26
P: 0.2500 0.0974 0.8933 [4 per cell]  5 Co 2.17-2.30
P: 0.2500 0.5606 0.6160 [4 per cell]  5 Co 2.24-2.30
P: 0.2500 0.7500 0.3436 [2 per cell]  7 Co 2.25-2.38
P: 0.2500 0.7500 0.8829 [2 per cell]  5 Co 2.19-2.23

The mass density comes out at 8.46 g cm⁻³. The magnetization comes out at 0.77 μB/f.u. Its density of states at the Fermi level is 23.06 states/eV/cell. Its formation energy from the elements is -0.94 eV per atom.

Entry 8:
VASP calculation (PBE-GGA) on crystalline Ti2VNiN at its relaxed geometry.

abc: 4.0853 4.0853 3.8374
angles: 90.00 90.00 90.00
Last column: nearest neighbours and their distance in Å.
Space group P4/mmm (No. 123)
Unique sites:
Ti: 0.0000 0.5000 0.0000 [2 per cell]  2 N 2.04
V: 0.0000 0.0000 0.5000 [1 per cell]  2 N 1.92
Ni: 0.5000 0.5000 0.5000 [1 per cell]  8 Ti 2.80, 4 V 2.89
N: 0.0000 0.0000 0.0000 [1 per cell]  2 V 1.92, 4 Ti 2.04

The calculation puts the uncorrected formation energy at -364 kJ/mol of formula units. The mass density comes out at 5.69 g cm⁻³. The magnetization comes out at 0.85 μB/f.u. Its density of states at the Fermi level is 3.86 states/eV/cell.

Entry 9:
VASP calculation (PBE-GGA) on crystalline ErH2F6 at its relaxed geometry.

abc: 6.8378 3.9437 8.0981
angles: 90.00 94.52 90.00
Last column: nearest neighbours and their distance in Å.
Space group C2/m (No. 12)
Unique sites:
Er: 0.0000 0.0000 0.0000 [2 per cell]  8 F 2.16-2.32
H: 0.1405 0.0000 0.3788 [4 per cell]  2 F 1.11-1.19
F: 0.0363 0.0000 0.2668 [4 per cell]  1 H 1.11
F: 0.1612 0.5000 0.9458 [4 per cell]  3 Er 2.32, 3 F 2.44
F: 0.2466 0.5000 0.5013 [4 per cell]  1 H 1.19

The mass density comes out at 4.32 g cm⁻³. The magnetization comes out at 0.00 μB/f.u. As for the uncorrected energy: -4.97 eV/atom. Its density of states at the Fermi level is 3.08 states/eV/cell.

Entry 10:
VASP calculation (PBE-GGA) on crystalline NaAsH3 at its relaxed geometry.

abc: 3.8942 3.8942 3.8942
angles: 90.00 90.00 90.00
Last column: nearest neighbours and their distance in Å.
Space group Pm-3m (No. 221)
Unique sites:
Na: 0.0000 0.0000 0.0000 [1 per cell]  12 H 2.75
As: 0.5000 0.5000 0.5000 [1 per cell]  6 H 1.95
H: 0.0000 0.5000 0.5000 [3 per cell]  2 As 1.95

The mass density comes out at 2.84 g cm⁻³. The magnetization comes out at 0.00 μB/f.u. As for the uncorrected energy: -3.01 eV/atom. Its density of states at the Fermi level is 0.63 states/eV/cell.

Entry 11:
VASP calculation (PBE-GGA) on crystalline AgMoAu at its relaxed geometry.

abc: 2.7568 2.7568 13.3995
angles: 90.00 90.00 90.00
Last column: nearest neighbours and their distance in Å.
Space group I4mm (No. 107)
Unique sites:
Ag: 0.0000 0.0000 0.0000 [2 per cell]  4 Ag 2.76, 4 Mo 2.97, 4 Au 3.02
Mo: 0.0000 0.0000 0.6667 [2 per cell]  4 Mo 2.76, 4 Au 2.91, 4 Ag 2.97
Au: 0.0000 0.0000 0.3276 [2 per cell]  4 Au 2.76, 4 Mo 2.91, 4 Ag 3.02

The mass density comes out at 13.07 g cm⁻³. The magnetization comes out at 0.00 μB/f.u. Its density of states at the Fermi level is 4.30 states/eV/cell. Its formation energy from the elements is 0.31 eV per atom.

Entry 12:
VASP calculation (PBE-GGA) on crystalline NiSn2SbMo at its relaxed geometry.

abc: 5.6389 5.6389 5.1393
angles: 90.00 90.00 90.00
Last column: nearest neighbours and their distance in Å.
Space group P4/mmm (No. 123)
Unique sites:
Ni: 0.0000 0.0000 0.0000 [1 per cell]  8 Sn 3.81, 4 Mo 3.99
Sn: 0.0000 0.5000 0.5000 [2 per cell]  2 Sb 2.82
Sb: 0.5000 0.5000 0.5000 [1 per cell]  2 Mo 2.57, 4 Sn 2.82
Mo: 0.5000 0.5000 0.0000 [1 per cell]  2 Sb 2.57

The calculation puts the uncorrected formation energy at 795 kJ/mol of formula units. The mass density comes out at 5.22 g cm⁻³. The magnetization comes out at 3.56 μB/f.u. Its density of states at the Fermi level is 6.83 states/eV/cell.